Record 1
The following is a GGA-PBE calculation of a geometry-optimized SnIr3F structure, from Alexandria via LeMat-Bulk.

abc: 4.9587 4.9587 4.9587
angles: 90.00 90.00 90.00
Last column: nearest neighbours and their distance in Å.
Atoms (fractional coordinates):
Sn1 0.0000 0.0000 0.0000  6 Ir 2.48
Ir1 0.0000 0.0000 0.5000  2 Sn 2.48
Ir2 0.0000 0.5000 0.0000  2 Sn 2.48
Ir3 0.5000 0.0000 0.0000  2 Sn 2.48
F1 0.5000 0.5000 0.5000  12 Ir 3.51

Output
Formation energy without anion corrections: 9.90 eV per formula unit
Polymorph energy (0 for the lowest one): 86.44 kJ per mole of atoms
Symmetry: Pm-3m, No. 221
Calculated total energy: -4.51 eV per atom


Record 2
The following is a GGA-PBE calculation of a geometry-optimized Rb2ReAg structure, from Alexandria via LeMat-Bulk.

abc: 9.2975 9.2975 9.2975
angles: 94.65 94.65 146.93
Last column: nearest neighbours and their distance in Å.
Atoms (fractional coordinates):
Rb1 0.3750 0.2135 0.3385  2 Ag 3.41
Rb2 0.7865 0.1250 0.1615  2 Ag 3.41
Rb3 0.8750 0.0365 0.6615  2 Ag 3.41
Rb4 0.9635 0.6250 0.8385  2 Ag 3.41
Re1 0.2500 0.7500 0.5000  2 Ag 2.65
Re2 0.5000 0.5000 0.0000  2 Ag 2.65
Ag1 0.0000 0.0000 0.0000  2 Re 2.65
Ag2 0.7500 0.2500 0.5000  2 Re 2.65

Output
Polymorph energy (0 for the lowest one): 0.00 kJ per mole of atoms
DFT formation energy: 1.44 eV/atom
Symmetry: I-42d, No. 122
Calculated total energy: -2.86 eV per atom


Record 3
The following is a GGA-PBE calculation of a geometry-optimized ThPdAu2 structure, from Alexandria via LeMat-Bulk.

abc: 4.9543 4.9543 4.9543
angles: 60.00 60.00 60.00
Last column: nearest neighbours and their distance in Å.
Atoms (fractional coordinates):
Th1 0.0000 0.0000 0.0000  8 Au 3.03
Pd1 0.5000 0.5000 0.5000  8 Au 3.03
Au1 0.2500 0.2500 0.2500  4 Th 3.03, 4 Pd 3.03
Au2 0.7500 0.7500 0.7500  4 Th 3.03, 4 Pd 3.03

Output
DFT formation energy: -0.62 eV/atom
Symmetry: Fm-3m, No. 225
Calculated total energy: -5.41 eV per atom


Record 4
The following is a GGA-PBE calculation of a geometry-optimized Er3Ga2SiRu3 structure, from Alexandria via LeMat-Bulk.

abc: 7.3242 7.3242 3.4827
angles: 90.00 90.00 120.00
Last column: nearest neighbours and their distance in Å.
Atoms (fractional coordinates):
Er1 0.0000 0.3867 0.0000  1 Si 2.83, 4 Ga 2.86, 4 Ru 3.03
Er2 0.3867 0.0000 0.0000  1 Si 2.83, 4 Ga 2.86, 4 Ru 3.03
Er3 0.6133 0.6133 0.0000  1 Si 2.83, 4 Ga 2.86, 4 Ru 3.03
Ga1 0.3333 0.6667 0.5000  3 Ru 2.84, 6 Er 2.86
Ga2 0.6667 0.3333 0.5000  3 Ru 2.84, 6 Er 2.86
Si1 0.0000 0.0000 0.0000  6 Ru 2.48
Ru1 0.0000 0.7586 0.5000  2 Si 2.48
Ru2 0.2414 0.2414 0.5000  2 Si 2.48
Ru3 0.7586 0.0000 0.5000  2 Si 2.48

Output
Formation energy without anion corrections: -6.04 eV per formula unit
Symmetry: P-62m, No. 189
Calculated total energy: -6.56 eV per atom


Record 5
The following is a GGA-PBE calculation of a geometry-optimized Na2Zn2Cu structure, from Alexandria via LeMat-Bulk.

abc: 7.5274 7.5274 7.5274
angles: 150.17 150.17 42.69
Last column: nearest neighbours and their distance in Å.
Atoms (fractional coordinates):
Na1 0.2500 0.7500 0.5000  4 Na 2.74, 4 Zn 3.01
Na2 0.7500 0.2500 0.5000  4 Na 2.74, 4 Zn 3.01
Zn1 0.0857 0.0857 0.0000  1 Zn 2.40
Zn2 0.9143 0.9143 0.0000  1 Zn 2.40
Cu1 0.5000 0.5000 0.0000  8 Zn 2.99

Output
Polymorph energy (0 for the lowest one): 31.82 kJ per mole of atoms
DFT formation energy: 0.42 eV/atom
Symmetry: I4/mmm, No. 139
Calculated total energy: -1.43 eV per atom


Record 6
The following is a GGA-PBE calculation of a geometry-optimized Sm2ThSb3 structure, from Alexandria via LeMat-Bulk.

abc: 7.7511 7.7511 7.7511
angles: 146.30 131.64 60.24
Last column: nearest neighbours and their distance in Å.
Atoms (fractional coordinates):
Sm1 0.1664 0.1664 0.0000  6 Sb 3.17
Sm2 0.8336 0.8336 0.0000  6 Sb 3.17
Th1 0.5000 0.5000 0.0000  6 Sb 3.17-3.18
Sb1 0.0000 0.5000 0.5000  4 Sm 3.17, 2 Th 3.17
Sb2 0.3327 0.8327 0.5000  4 Sm 3.17, 2 Th 3.18
Sb3 0.6673 0.1673 0.5000  4 Sm 3.17, 2 Th 3.18

Output
Formation energy without anion corrections: -6.63 eV per formula unit
Symmetry: Immm, No. 71
Calculated total energy: -5.98 eV per atom


Record 7
The following is a GGA-PBE calculation of a geometry-optimized MoSBrCl2 structure, from Alexandria via LeMat-Bulk.

abc: 5.1437 5.1437 4.9743
angles: 90.00 90.00 90.00
Last column: nearest neighbours and their distance in Å.
Atoms (fractional coordinates):
Mo1 0.0000 0.0000 0.0000  8 Cl 3.58, 4 S 3.64
S1 0.5000 0.5000 0.0000  2 Br 2.49
Br1 0.5000 0.5000 0.5000  2 S 2.49, 4 Cl 2.57
Cl1 0.0000 0.5000 0.5000  2 Br 2.57
Cl2 0.5000 0.0000 0.5000  2 Br 2.57

Output
Formation energy without anion corrections: 5.57 eV per formula unit
Polymorph energy (0 for the lowest one): 119.71 kJ per mole of atoms
Symmetry: P4/mmm, No. 123
Calculated total energy: -2.95 eV per atom


Record 8
The following is a GGA-PBE calculation of a geometry-optimized TbInGa structure, from Alexandria via LeMat-Bulk.

abc: 5.0231 5.0231 6.2037
angles: 90.00 90.00 116.05
Last column: nearest neighbours and their distance in Å.
Atoms (fractional coordinates):
Tb1 0.1603 0.8397 0.7500  5 Ga 2.93-3.11
Tb2 0.8397 0.1603 0.2500  5 Ga 2.93-3.11
In1 0.5000 0.5000 0.0000  2 In 3.10, 6 Ga 3.11-3.45, 6 Tb 3.28-3.37
In2 0.5000 0.5000 0.5000  2 In 3.10, 6 Ga 3.11-3.45, 6 Tb 3.28-3.37
Ga1 0.1835 0.8165 0.2500  5 Tb 2.93-3.11, 2 In 3.11
Ga2 0.8165 0.1835 0.7500  5 Tb 2.93-3.11, 2 In 3.11

Output
Polymorph energy (0 for the lowest one): 3.90 kJ per mole of atoms
DFT formation energy: -0.44 eV/atom
Symmetry: Cmcm, No. 63
Calculated total energy: -3.91 eV per atom